# 1
A geometry-optimized Ac2AgGeS6 structure. Source: Alexandria, functional PBE.

Total magnetization, μB per atom: 0.000
DOS(E_F), states/eV per atom: 0.508
ΔE_f (raw), eV/atom: -1.117

Cell lengths 6.4206, 7.6361, 9.5768 Å; angles 90.00, 89.86, 90.00 degrees
Atoms (fractional coordinates):
1 Ac 0.0453 0.8908 0.2455
2 Ac 0.5453 0.6092 0.7455
3 Ac 0.9547 0.1092 0.7545
4 Ac 0.4547 0.3908 0.2545
5 Ag 0.5000 0.0000 0.0000
6 Ag 0.0000 0.5000 0.5000
7 Ge 0.5000 0.0000 0.5000
8 Ge 0.0000 0.5000 0.0000
9 S 0.3057 0.6606 0.0400
10 S 0.8057 0.8394 0.5400
11 S 0.6943 0.3394 0.9600
12 S 0.1943 0.1606 0.4600
13 S 0.3226 0.6901 0.4540
14 S 0.8226 0.8099 0.9540
15 S 0.6774 0.3099 0.5460
16 S 0.1774 0.1901 0.0460
17 S 0.9036 0.5116 0.2442
18 S 0.4036 0.9884 0.7442
19 S 0.0964 0.4884 0.7558
20 S 0.5964 0.0116 0.2558

=====

# 2
A geometry-optimized AcSmAgGe structure. Source: Alexandria, functional PBE.

Total magnetization, μB per atom: 0.000
ΔE_f, eV per atom: -0.445
DOS(E_F), states/eV per atom: 1.119

Cell lengths 5.3816, 5.3816, 5.3816 Å; angles 60.00, 60.00, 60.00 degrees
Atoms (fractional coordinates):
1 Ac 0.0000 0.0000 0.0000
2 Ge 0.2500 0.2500 0.2500
3 Ag 0.7500 0.7500 0.7500
4 Sm 0.5000 0.5000 0.5000

=====

# 3
A geometry-optimized Ac2Ag4SnGe3 structure. Source: Alexandria, functional PBE.

Total magnetization, μB per atom: 0.000
ΔE_f, eV per atom: -0.396
DOS(E_F), states/eV per atom: 0.388

Cell lengths 4.5574, 4.5574, 11.2943 Å; angles 90.00, 90.00, 90.00 degrees
Atoms (fractional coordinates):
1 Ac 0.5000 0.0000 0.2363
2 Ac 0.0000 0.5000 0.7637
3 Ag 0.5000 0.5000 0.0000
4 Ag 0.0000 0.0000 0.0000
5 Ag 0.5000 0.0000 0.6428
6 Ag 0.0000 0.5000 0.3572
7 Sn 0.5000 0.5000 0.5000
8 Ge 0.0000 0.0000 0.5000
9 Ge 0.5000 0.0000 0.8708
10 Ge 0.0000 0.5000 0.1292

=====

# 4
A geometry-optimized AcTbAg2Ge2 structure. Source: Alexandria, functional PBE.

Total magnetization, μB per atom: 0.000
ΔE_f, eV per atom: -0.594
DOS(E_F), states/eV per atom: 0.194

Cell lengths 4.5742, 4.5742, 7.9135 Å; angles 90.00, 90.00, 120.00 degrees
Atoms (fractional coordinates):
1 Ac 0.0000 0.0000 0.0000
2 Tb 0.0000 0.0000 0.5000
3 Ag 0.3333 0.6667 0.7092
4 Ag 0.6667 0.3333 0.2908
5 Ge 0.3333 0.6667 0.2681
6 Ge 0.6667 0.3333 0.7319

=====

# 5
A geometry-optimized AcThAgGe structure. Source: Alexandria, functional PBE.

Total magnetization, μB per atom: 0.000
ΔE_f, eV per atom: -0.295
DOS(E_F), states/eV per atom: 1.162

Cell lengths 5.3864, 5.3864, 5.3864 Å; angles 60.00, 60.00, 60.00 degrees
Atoms (fractional coordinates):
1 Ac 0.5000 0.5000 0.5000
2 Ge 0.2500 0.2500 0.2500
3 Ag 0.7500 0.7500 0.7500
4 Th 0.0000 0.0000 0.0000

=====

# 6
A geometry-optimized AcTlAgGe structure. Source: Alexandria, functional PBE.

Total magnetization, μB per atom: 0.000
ΔE_f, eV per atom: -0.199
DOS(E_F), states/eV per atom: 0.725

Cell lengths 5.3281, 5.3281, 5.3281 Å; angles 60.00, 60.00, 60.00 degrees
Atoms (fractional coordinates):
1 Ac 0.7500 0.7500 0.7500
2 Ge 0.0000 0.0000 0.0000
3 Tl 0.2500 0.2500 0.2500
4 Ag 0.5000 0.5000 0.5000

=====

# 7
A geometry-optimized AcYAgGe structure. Source: Alexandria, functional PBE.

Total magnetization, μB per atom: 0.000
ΔE_f, eV per atom: -0.443
DOS(E_F), states/eV per atom: 1.081

Cell lengths 5.3447, 5.3447, 5.3447 Å; angles 60.00, 60.00, 60.00 degrees
Atoms (fractional coordinates):
1 Y 0.7500 0.7500 0.7500
2 Ac 0.2500 0.2500 0.2500
3 Ge 0.5000 0.5000 0.5000
4 Ag 0.0000 0.0000 0.0000

=====

# 8
A geometry-optimized AcZn4Ag5Ge structure. Source: Alexandria, functional PBE.

Total magnetization, μB per atom: 0.000
ΔE_f, eV per atom: 0.096
DOS(E_F), states/eV per atom: 0.181

Cell lengths 5.1246, 5.1246, 8.7332 Å; angles 90.00, 90.00, 90.00 degrees
Atoms (fractional coordinates):
1 Ac 0.0000 0.0000 0.5000
2 Zn 0.5000 0.5000 0.1548
3 Zn 0.5000 0.5000 0.8452
4 Zn 0.5000 0.0000 0.0000
5 Zn 0.0000 0.5000 0.0000
6 Ag 0.0000 0.5000 0.2906
7 Ag 0.0000 0.5000 0.7094
8 Ag 0.5000 0.0000 0.2906
9 Ag 0.0000 0.0000 0.0000
10 Ag 0.5000 0.0000 0.7094
11 Ge 0.5000 0.5000 0.5000

=====

# 9
A geometry-optimized Ac2ZnAg3Ge4 structure. Source: Alexandria, functional PBE.

Total magnetization, μB per atom: 0.000
ΔE_f, eV per atom: -0.408
DOS(E_F), states/eV per atom: 0.238

Cell lengths 4.5257, 4.5257, 10.8913 Å; angles 90.00, 90.00, 90.00 degrees
Atoms (fractional coordinates):
1 Ac 0.5000 0.0000 0.2526
2 Ac 0.0000 0.5000 0.7474
3 Zn 0.5000 0.5000 0.5000
4 Ag 0.0000 0.0000 0.5000
5 Ag 0.5000 0.0000 0.8689
6 Ag 0.0000 0.5000 0.1311
7 Ge 0.5000 0.5000 0.0000
8 Ge 0.0000 0.0000 0.0000
9 Ge 0.5000 0.0000 0.6314
10 Ge 0.0000 0.5000 0.3686

=====

# 10
A geometry-optimized AcAgH2 structure. Source: Alexandria, functional PBE.

Total magnetization, μB per atom: 0.000
DOS(E_F), states/eV per atom: 0.358
Relative energy among the computed polymorphs, meV per atom: 30

Cell lengths 4.5200, 4.5200, 4.5200 Å; angles 60.00, 60.00, 60.00 degrees
Atoms (fractional coordinates):
1 H 0.2500 0.2500 0.2500
2 H 0.7500 0.7500 0.7500
3 Ac 0.0000 0.0000 0.0000
4 Ag 0.5000 0.5000 0.5000

=====

# 11
A geometry-optimized Ac2AgH structure. Source: Alexandria, functional PBE.

Total magnetization, μB per atom: 0.000
DOS(E_F), states/eV per atom: 0.740
Relative energy among the computed polymorphs, meV per atom: 0

Cell lengths 4.2172, 4.2172, 7.7608 Å; angles 74.23, 74.23, 60.00 degrees
Atoms (fractional coordinates):
1 H 0.5000 0.5000 0.5000
2 Ac 0.2361 0.2361 0.2917
3 Ac 0.7639 0.7639 0.7083
4 Ag 0.0000 0.0000 0.0000

=====

# 12
A geometry-optimized AcAgH2 structure. Source: Alexandria, functional PBE.

Total magnetization, μB per atom: 0.000
DOS(E_F), states/eV per atom: 0.054
Relative energy among the computed polymorphs, meV per atom: 0

Cell lengths 4.2673, 4.2673, 5.3591 Å; angles 66.54, 66.54, 60.00 degrees
Atoms (fractional coordinates):
1 H 0.1378 0.1378 0.5866
2 H 0.8622 0.8622 0.4134
3 Ac 0.5000 0.5000 0.5000
4 Ag 0.0000 0.0000 0.0000

=====

# 13
A geometry-optimized AcAgH3 structure. Source: Alexandria, functional PBE.

Total magnetization, μB per atom: 0.107
DOS(E_F), states/eV per atom: 0.458
Energy, eV/atom: -3.53

Cell lengths 4.0375, 4.0375, 4.0375 Å; angles 90.00, 90.00, 90.00 degrees
Site moments in Bohr magnetons follow the coordinates.
Atoms (fractional coordinates):
1 H 0.0000 0.5000 0.0000  -0.01
2 H 0.0000 0.0000 0.5000  -0.01
3 H 0.5000 0.0000 0.0000  -0.01
4 Ac 0.5000 0.5000 0.5000  0.20
5 Ag 0.0000 0.0000 0.0000  0.02

=====

# 14
A geometry-optimized Ac12Ag3H5 structure. Source: Alexandria, functional PBE.

Total magnetization, μB per atom: 0.000
DOS(E_F), states/eV per atom: 0.981
Energy, eV/atom: -3.90

Cell lengths 14.7785, 14.7785, 14.7785 Å; angles 109.47, 109.47, 109.47 degrees
Atoms (fractional coordinates):
1 Ag 0.7500 0.3750 0.1250
2 Ag 0.8750 0.7500 0.1250
3 Ag 0.3750 0.7500 0.6250
4 Ag 0.2500 0.1250 0.3750
5 Ag 0.8750 0.1250 0.2500
6 Ag 0.3750 0.6250 0.2500
7 Ag 0.6250 0.3750 0.7500
8 Ag 0.1250 0.8750 0.7500
9 Ag 0.7500 0.8750 0.6250
10 Ag 0.6250 0.2500 0.3750
11 Ag 0.1250 0.2500 0.8750
12 Ag 0.2500 0.6250 0.8750
13 H 0.1250 0.3750 0.2500
14 H 0.0000 0.5000 0.0000
15 H 0.0000 0.0000 0.0000
16 H 0.3750 0.2500 0.1250
17 H 0.5000 0.0000 0.5000
18 H 0.5000 0.5000 0.0000
19 H 0.1250 0.7500 0.3750
20 H 0.7500 0.1250 0.8750
21 H 0.7500 0.6250 0.3750
22 H 0.3750 0.1250 0.7500
23 H 0.6250 0.8750 0.2500
24 H 0.5000 0.5000 0.5000
25 H 0.5000 0.0000 0.0000
26 H 0.0000 0.0000 0.5000
27 H 0.2500 0.3750 0.6250
28 H 0.2500 0.8750 0.1250
29 H 0.0000 0.5000 0.5000
30 H 0.8750 0.2500 0.6250
31 H 0.6250 0.7500 0.8750
32 H 0.8750 0.6250 0.7500
33 Ac 0.7103 0.1130 0.0188
34 Ac 0.3085 0.5188 0.4058
35 Ac 0.9812 0.3870 0.2897
36 Ac 0.5188 0.2103 0.1130
37 Ac 0.5973 0.7103 0.6915
38 Ac 0.9812 0.5942 0.1915
39 Ac 0.3085 0.7897 0.4027
40 Ac 0.0942 0.9027 0.1130
41 Ac 0.5942 0.9812 0.6915
42 Ac 0.7103 0.5973 0.1915
43 Ac 0.7897 0.4812 0.3870
44 Ac 0.8085 0.9058 0.0188
45 Ac 0.1130 0.7103 0.5188
46 Ac 0.3870 0.4058 0.0973
47 Ac 0.0973 0.9058 0.3870
48 Ac 0.4027 0.1130 0.5942
49 Ac 0.0973 0.1915 0.2103
50 Ac 0.4812 0.6915 0.0942
51 Ac 0.8085 0.9027 0.2897
52 Ac 0.1130 0.4027 0.0942
53 Ac 0.3870 0.9812 0.7897
54 Ac 0.5942 0.6130 0.4027
55 Ac 0.9058 0.8085 0.5188
56 Ac 0.7897 0.3085 0.9027
57 Ac 0.4058 0.3870 0.5973
58 Ac 0.0942 0.1915 0.4812
59 Ac 0.2103 0.6915 0.0973
60 Ac 0.1915 0.0973 0.7103
61 Ac 0.6130 0.0188 0.2103
62 Ac 0.8870 0.5973 0.9058
63 Ac 0.5188 0.3085 0.9058
64 Ac 0.5973 0.8870 0.4058
65 Ac 0.9027 0.8085 0.7897
66 Ac 0.9027 0.0942 0.6130
67 Ac 0.8870 0.2897 0.4812
68 Ac 0.1915 0.0942 0.9812
69 Ac 0.6130 0.5942 0.9027
70 Ac 0.4058 0.0188 0.3085
71 Ac 0.2897 0.4027 0.8085
72 Ac 0.2103 0.5188 0.6130
73 Ac 0.9058 0.0973 0.8870
74 Ac 0.6915 0.2103 0.5973
75 Ac 0.4812 0.7897 0.8870
76 Ac 0.0188 0.4058 0.8085
77 Ac 0.4027 0.2897 0.3085
78 Ac 0.0188 0.6130 0.7103
79 Ac 0.6915 0.4812 0.5942
80 Ac 0.2897 0.8870 0.9812

=====

# 15
A geometry-optimized Ac2AgH structure. Source: Alexandria, functional PBE.

Total magnetization, μB per atom: 0.002
DOS(E_F), states/eV per atom: 1.118
Relative energy among the computed polymorphs, meV per atom: 182

Cell lengths 3.6996, 3.6996, 7.7889 Å; angles 90.00, 90.00, 90.00 degrees
Atoms (fractional coordinates):
1 H 0.5000 0.5000 0.0000
2 Ac 0.0000 0.0000 0.7664
3 Ac 0.0000 0.0000 0.2336
4 Ag 0.5000 0.5000 0.5000

=====

# 16
A geometry-optimized Ac3Ag5H12 structure. Source: Alexandria, functional PBE.

Total magnetization, μB per atom: 0.000
DOS(E_F), states/eV per atom: 0.192
Energy, eV/atom: -3.46

Cell lengths 11.2897, 11.2897, 11.2897 Å; angles 109.47, 109.47, 109.47 degrees
Atoms (fractional coordinates):
1 Ac 0.7500 0.3750 0.1250
2 Ac 0.8750 0.7500 0.1250
3 Ac 0.3750 0.7500 0.6250
4 Ac 0.2500 0.1250 0.3750
5 Ac 0.8750 0.1250 0.2500
6 Ac 0.3750 0.6250 0.2500
7 Ac 0.6250 0.3750 0.7500
8 Ac 0.1250 0.8750 0.7500
9 Ac 0.7500 0.8750 0.6250
10 Ac 0.6250 0.2500 0.3750
11 Ac 0.1250 0.2500 0.8750
12 Ac 0.2500 0.6250 0.8750
13 Ag 0.1250 0.3750 0.2500
14 Ag 0.0000 0.5000 0.0000
15 Ag 0.0000 0.0000 0.0000
16 Ag 0.3750 0.2500 0.1250
17 Ag 0.5000 0.0000 0.5000
18 Ag 0.5000 0.5000 0.0000
19 Ag 0.1250 0.7500 0.3750
20 Ag 0.7500 0.1250 0.8750
21 Ag 0.7500 0.6250 0.3750
22 Ag 0.3750 0.1250 0.7500
23 Ag 0.6250 0.8750 0.2500
24 Ag 0.5000 0.5000 0.5000
25 Ag 0.5000 0.0000 0.0000
26 Ag 0.0000 0.0000 0.5000
27 Ag 0.2500 0.3750 0.6250
28 Ag 0.2500 0.8750 0.1250
29 Ag 0.0000 0.5000 0.5000
30 Ag 0.8750 0.2500 0.6250
31 Ag 0.6250 0.7500 0.8750
32 Ag 0.8750 0.6250 0.7500
33 H 0.7044 0.1189 0.0221
34 H 0.3177 0.5221 0.4033
35 H 0.9779 0.3811 0.2956
36 H 0.5221 0.2044 0.1189
37 H 0.5856 0.7044 0.6823
38 H 0.9779 0.5967 0.1823
39 H 0.3177 0.7956 0.4144
40 H 0.0967 0.9144 0.1189
41 H 0.5967 0.9779 0.6823
42 H 0.7044 0.5856 0.1823
43 H 0.7956 0.4779 0.3811
44 H 0.8177 0.9033 0.0221
45 H 0.1189 0.7044 0.5221
46 H 0.3811 0.4033 0.0856
47 H 0.0856 0.9033 0.3811
48 H 0.4144 0.1189 0.5967
49 H 0.0856 0.1823 0.2044
50 H 0.4779 0.6823 0.0967
51 H 0.8177 0.9144 0.2956
52 H 0.1189 0.4144 0.0967
53 H 0.3811 0.9779 0.7956
54 H 0.5967 0.6189 0.4144
55 H 0.9033 0.8177 0.5221
56 H 0.7956 0.3177 0.9144
57 H 0.4033 0.3811 0.5856
58 H 0.0967 0.1823 0.4779
59 H 0.2044 0.6823 0.0856
60 H 0.1823 0.0856 0.7044
61 H 0.6189 0.0221 0.2044
62 H 0.8811 0.5856 0.9033
63 H 0.5221 0.3177 0.9033
64 H 0.5856 0.8811 0.4033
65 H 0.9144 0.8177 0.7956
66 H 0.9144 0.0967 0.6189
67 H 0.8811 0.2956 0.4779
68 H 0.1823 0.0967 0.9779
69 H 0.6189 0.5967 0.9144
70 H 0.4033 0.0221 0.3177
71 H 0.2956 0.4144 0.8177
72 H 0.2044 0.5221 0.6189
73 H 0.9033 0.0856 0.8811
74 H 0.6823 0.2044 0.5856
75 H 0.4779 0.7956 0.8811
76 H 0.0221 0.4033 0.8177
77 H 0.4144 0.2956 0.3177
78 H 0.0221 0.6189 0.7044
79 H 0.6823 0.4779 0.5967
80 H 0.2956 0.8811 0.9779

=====

# 17
A geometry-optimized AcAgH6Ir structure. Source: Alexandria, functional PBE.

Total magnetization, μB per atom: 0.000
DOS(E_F), states/eV per atom: 0.189
Energy, eV/atom: -4.28

Cell lengths 4.9590, 4.9590, 4.5322 Å; angles 90.00, 90.00, 60.00 degrees
Atoms (fractional coordinates):
1 Ac 0.0000 0.0000 0.0000
2 Ag 0.6666 0.6667 0.4999
3 H 0.0424 0.4786 0.2386
4 H 0.4786 0.0424 0.7614
5 H 0.4790 0.4786 0.7614
6 H 0.0423 0.4791 0.7614
7 H 0.4785 0.4790 0.2386
8 H 0.4790 0.0424 0.2386
9 Ir 0.3333 0.3333 0.5000

=====

# 18
A geometry-optimized Ac2AgH6Ir structure. Source: Alexandria, functional PBE.

Total magnetization, μB per atom: 0.000
DOS(E_F), states/eV per atom: 0.522
Energy, eV/atom: -4.37

Cell lengths 5.6587, 5.6586, 5.6818 Å; angles 60.44, 60.44, 90.86 degrees
Atoms (fractional coordinates):
1 Ac 0.7501 0.2499 0.5000
2 Ac 0.2499 0.7501 0.5000
3 Ag 0.0000 0.0000 0.0000
4 H 0.2829 0.2829 0.4332
5 H 0.7204 0.7204 0.9984
6 H 0.2826 0.7174 0.0000
7 H 0.7174 0.2826 0.0000
8 H 0.2796 0.2796 0.0016
9 H 0.7171 0.7171 0.5668
10 Ir 0.5000 0.5000 0.0000